# PmEr3S4 (PBE-GGA, optimized geometry)
# Formation energy (no corrections)   -15.7 eV per formula unit
# Electronic total energy   -6.34 eV/atom
# Magnetization   0.0 μB per formula unit
data_PmEr3S4
_space_group_name_H-M_alt 'P 1'
_space_group_IT_number 1
_space_group_name_Hall 'P 1'
_cell_length_a 6.795
_cell_length_b 6.795
_cell_length_c 3.865
_cell_angle_alpha 90.00
_cell_angle_beta 90.00
_cell_angle_gamma 108.92
loop_
_atom_site_label
_atom_site_type_symbol
_atom_site_fract_x
_atom_site_fract_y
_atom_site_fract_z
Pm1 Pm 0.000 0.000 0.000
Er1 Er 0.000 0.500 0.500
Er2 Er 0.500 0.000 0.500
Er3 Er 0.500 0.500 0.000
S1 S 0.255 0.745 0.000
S2 S 0.261 0.261 0.500
S3 S 0.739 0.739 0.500
S4 S 0.745 0.255 0.000

# Pm3Er4S8 (PBE-GGA, optimized geometry)
# Formation energy (no corrections)   -30.5 eV per formula unit
# Electronic total energy   -6.40 eV/atom
# Magnetization   0.0 μB per formula unit
data_Pm3Er4S8
_space_group_name_H-M_alt 'P 1'
_space_group_IT_number 1
_space_group_name_Hall 'P 1'
_cell_length_a 7.878
_cell_length_b 7.878
_cell_length_c 7.855
_cell_angle_alpha 119.86
_cell_angle_beta 119.86
_cell_angle_gamma 90.04
loop_
_atom_site_label
_atom_site_type_symbol
_atom_site_fract_x
_atom_site_fract_y
_atom_site_fract_z
Pm1 Pm 0.000 0.000 0.000
Pm2 Pm 0.000 0.500 0.000
Pm3 Pm 0.500 0.000 0.000
Er1 Er 0.000 0.500 0.500
Er2 Er 0.500 0.000 0.500
Er3 Er 0.500 0.500 0.000
Er4 Er 0.500 0.500 0.500
S1 S 0.253 0.747 0.500
S2 S 0.255 0.745 0.000
S3 S 0.258 0.258 0.510
S4 S 0.259 0.259 0.008
S5 S 0.741 0.741 0.992
S6 S 0.742 0.742 0.490
S7 S 0.745 0.255 0.000
S8 S 0.747 0.253 0.500

# PmEr4S6 (PBE-GGA, optimized geometry)
# Formation energy (no corrections)   -22.4 eV per formula unit
# Electronic total energy   -6.37 eV/atom
# Magnetization   0.0 μB per formula unit
data_PmEr4S6
_space_group_name_H-M_alt 'P 1'
_space_group_IT_number 1
_space_group_name_Hall 'P 1'
_cell_length_a 6.657
_cell_length_b 6.657
_cell_length_c 19.746
_cell_angle_alpha 90.00
_cell_angle_beta 90.00
_cell_angle_gamma 146.52
loop_
_atom_site_label
_atom_site_type_symbol
_atom_site_fract_x
_atom_site_fract_y
_atom_site_fract_z
Pm1 Pm 0.153 0.847 0.750
Pm2 Pm 0.847 0.153 0.250
Er1 Er 0.092 0.908 0.127
Er2 Er 0.092 0.908 0.373
Er3 Er 0.362 0.638 0.039
Er4 Er 0.362 0.638 0.461
Er5 Er 0.638 0.362 0.539
Er6 Er 0.638 0.362 0.961
Er7 Er 0.908 0.092 0.627
Er8 Er 0.908 0.092 0.873
S1 S 0.000 0.000 0.000
S2 S 0.000 0.000 0.500
S3 S 0.185 0.815 0.250
S4 S 0.269 0.731 0.588
S5 S 0.269 0.731 0.912
S6 S 0.453 0.547 0.165
S7 S 0.453 0.547 0.335
S8 S 0.547 0.453 0.665
S9 S 0.547 0.453 0.835
S10 S 0.731 0.269 0.088
S11 S 0.731 0.269 0.412
S12 S 0.815 0.185 0.750

# Pm3ErS6 (PBE-GGA, optimized geometry)
# Formation energy (no corrections)   -20.3 eV per formula unit
# Electronic total energy   -6.38 eV/atom
# Magnetization   0.0 μB per formula unit
data_Pm3ErS6
_space_group_name_H-M_alt 'P 1'
_space_group_IT_number 1
_space_group_name_Hall 'P 1'
_cell_length_a 6.734
_cell_length_b 7.346
_cell_length_c 12.111
_cell_angle_alpha 90.00
_cell_angle_beta 122.92
_cell_angle_gamma 90.00
loop_
_atom_site_label
_atom_site_type_symbol
_atom_site_fract_x
_atom_site_fract_y
_atom_site_fract_z
Pm1 Pm 0.000 0.000 0.000
Pm2 Pm 0.000 0.500 0.500
Pm3 Pm 0.293 0.093 0.752
Pm4 Pm 0.293 0.407 0.252
Pm5 Pm 0.707 0.593 0.748
Pm6 Pm 0.707 0.907 0.248
Er1 Er 0.500 0.000 0.500
Er2 Er 0.500 0.500 0.000
S1 S 0.100 0.064 0.256
S2 S 0.100 0.436 0.756
S3 S 0.266 0.684 0.082
S4 S 0.266 0.816 0.582
S5 S 0.407 0.190 0.081
S6 S 0.407 0.310 0.581
S7 S 0.593 0.690 0.419
S8 S 0.593 0.810 0.919
S9 S 0.734 0.184 0.418
S10 S 0.734 0.316 0.918
S11 S 0.900 0.564 0.244
S12 S 0.900 0.936 0.744

# Pm4ErS6 (PBE-GGA, optimized geometry)
# Formation energy (no corrections)   -22.2 eV per formula unit
# Electronic total energy   -6.41 eV/atom
# Magnetization   0.0 μB per formula unit
data_Pm4ErS6
_space_group_name_H-M_alt 'P 1'
_space_group_IT_number 1
_space_group_name_Hall 'P 1'
_cell_length_a 6.916
_cell_length_b 6.916
_cell_length_c 20.272
_cell_angle_alpha 90.00
_cell_angle_beta 90.00
_cell_angle_gamma 147.33
loop_
_atom_site_label
_atom_site_type_symbol
_atom_site_fract_x
_atom_site_fract_y
_atom_site_fract_z
Pm1 Pm 0.090 0.910 0.630
Pm2 Pm 0.090 0.910 0.870
Pm3 Pm 0.360 0.640 0.541
Pm4 Pm 0.360 0.640 0.959
Pm5 Pm 0.640 0.360 0.041
Pm6 Pm 0.640 0.360 0.459
Pm7 Pm 0.910 0.090 0.130
Pm8 Pm 0.910 0.090 0.370
Er1 Er 0.152 0.848 0.250
Er2 Er 0.848 0.152 0.750
S1 S 0.000 0.000 0.000
S2 S 0.000 0.000 0.500
S3 S 0.202 0.798 0.750
S4 S 0.271 0.729 0.090
S5 S 0.271 0.729 0.410
S6 S 0.444 0.556 0.670
S7 S 0.444 0.556 0.830
S8 S 0.556 0.444 0.170
S9 S 0.556 0.444 0.330
S10 S 0.729 0.271 0.590
S11 S 0.729 0.271 0.910
S12 S 0.798 0.202 0.250

# PmErS3 (PBE-GGA, optimized geometry)
# Formation energy (no corrections)   -10.4 eV per formula unit
# Electronic total energy   -6.42 eV/atom
# Magnetization   0.0 μB per formula unit
data_PmErS3
_space_group_name_H-M_alt 'P 1'
_space_group_IT_number 1
_space_group_name_Hall 'P 1'
_cell_length_a 7.359
_cell_length_b 3.955
_cell_length_c 15.292
_cell_angle_alpha 90.00
_cell_angle_beta 90.00
_cell_angle_gamma 90.00
loop_
_atom_site_label
_atom_site_type_symbol
_atom_site_fract_x
_atom_site_fract_y
_atom_site_fract_z
Pm1 Pm 0.143 0.250 0.201
Pm2 Pm 0.357 0.750 0.701
Pm3 Pm 0.643 0.250 0.299
Pm4 Pm 0.857 0.750 0.799
Er1 Er 0.231 0.750 0.457
Er2 Er 0.269 0.250 0.957
Er3 Er 0.731 0.750 0.043
Er4 Er 0.769 0.250 0.543
S1 S 0.012 0.250 0.395
S2 S 0.125 0.750 0.063
S3 S 0.150 0.250 0.785
S4 S 0.350 0.750 0.285
S5 S 0.375 0.250 0.563
S6 S 0.488 0.750 0.895
S7 S 0.512 0.250 0.105
S8 S 0.625 0.750 0.437
S9 S 0.650 0.250 0.715
S10 S 0.850 0.750 0.215
S11 S 0.875 0.250 0.937
S12 S 0.988 0.750 0.605

# Pm3Er5S8 (PBE-GGA, optimized geometry)
# Formation energy (no corrections)   -31.7 eV per formula unit
# Electronic total energy   -6.36 eV/atom
# Magnetization   0.0 μB per formula unit
data_Pm3Er5S8
_space_group_name_H-M_alt 'P 1'
_space_group_IT_number 1
_space_group_name_Hall 'P 1'
_cell_length_a 7.895
_cell_length_b 7.895
_cell_length_c 7.895
_cell_angle_alpha 59.41
_cell_angle_beta 59.41
_cell_angle_gamma 59.41
loop_
_atom_site_label
_atom_site_type_symbol
_atom_site_fract_x
_atom_site_fract_y
_atom_site_fract_z
Pm1 Pm 0.000 0.500 0.500
Pm2 Pm 0.500 0.000 0.500
Pm3 Pm 0.500 0.500 0.000
Er1 Er 0.000 0.000 0.000
Er2 Er 0.000 0.000 0.500
Er3 Er 0.000 0.500 0.000
Er4 Er 0.500 0.000 0.000
Er5 Er 0.500 0.500 0.500
S1 S 0.239 0.750 0.750
S2 S 0.244 0.244 0.244
S3 S 0.250 0.250 0.761
S4 S 0.250 0.761 0.250
S5 S 0.750 0.239 0.750
S6 S 0.750 0.750 0.239
S7 S 0.756 0.756 0.756
S8 S 0.761 0.250 0.250

# Pm3ErS6 (PBE-GGA, optimized geometry)
# Formation energy (no corrections)   -20.6 eV per formula unit
# Electronic total energy   -6.42 eV/atom
# Magnetization   0.0 μB per formula unit
data_Pm3ErS6
_space_group_name_H-M_alt 'P 1'
_space_group_IT_number 1
_space_group_name_Hall 'P 1'
_cell_length_a 8.181
_cell_length_b 8.181
_cell_length_c 8.181
_cell_angle_alpha 91.40
_cell_angle_beta 91.40
_cell_angle_gamma 91.40
loop_
_atom_site_label
_atom_site_type_symbol
_atom_site_fract_x
_atom_site_fract_y
_atom_site_fract_z
Pm1 Pm 0.068 0.576 0.749
Pm2 Pm 0.251 0.932 0.424
Pm3 Pm 0.424 0.251 0.932
Pm4 Pm 0.576 0.749 0.068
Pm5 Pm 0.749 0.068 0.576
Pm6 Pm 0.932 0.424 0.251
Er1 Er 0.000 0.000 0.000
Er2 Er 0.500 0.500 0.500
S1 S 0.038 0.909 0.687
S2 S 0.091 0.313 0.962
S3 S 0.190 0.587 0.422
S4 S 0.313 0.962 0.091
S5 S 0.413 0.578 0.810
S6 S 0.422 0.190 0.587
S7 S 0.578 0.810 0.413
S8 S 0.587 0.422 0.190
S9 S 0.687 0.038 0.909
S10 S 0.810 0.413 0.578
S11 S 0.909 0.687 0.038
S12 S 0.962 0.091 0.313

# Pm6ErS8 (PBE-GGA, optimized geometry)
# Formation energy (no corrections)   -30.9 eV per formula unit
# Electronic total energy   -6.47 eV/atom
# Magnetization   0.0 μB per formula unit
data_Pm6ErS8
_space_group_name_H-M_alt 'P 1'
_space_group_IT_number 1
_space_group_name_Hall 'P 1'
_cell_length_a 8.034
_cell_length_b 8.034
_cell_length_c 8.034
_cell_angle_alpha 60.00
_cell_angle_beta 60.00
_cell_angle_gamma 60.00
loop_
_atom_site_label
_atom_site_type_symbol
_atom_site_fract_x
_atom_site_fract_y
_atom_site_fract_z
Pm1 Pm 0.000 0.000 0.500
Pm2 Pm 0.000 0.500 0.000
Pm3 Pm 0.000 0.500 0.500
Pm4 Pm 0.500 0.000 0.000
Pm5 Pm 0.500 0.000 0.500
Pm6 Pm 0.500 0.500 0.000
Er1 Er 0.000 0.000 0.000
S1 S 0.243 0.243 0.757
S2 S 0.243 0.757 0.243
S3 S 0.243 0.757 0.757
S4 S 0.250 0.250 0.250
S5 S 0.750 0.750 0.750
S6 S 0.757 0.243 0.243
S7 S 0.757 0.243 0.757
S8 S 0.757 0.757 0.243

# Pm3Er2S8 (PBE-GGA, optimized geometry)
# Formation energy (no corrections)   -23.6 eV per formula unit
# Electronic total energy   -6.16 eV/atom
# Magnetization   0.0 μB per formula unit
data_Pm3Er2S8
_space_group_name_H-M_alt 'P 1'
_space_group_IT_number 1
_space_group_name_Hall 'P 1'
_cell_length_a 8.001
_cell_length_b 8.001
_cell_length_c 6.818
_cell_angle_alpha 107.82
_cell_angle_beta 107.82
_cell_angle_gamma 60.35
loop_
_atom_site_label
_atom_site_type_symbol
_atom_site_fract_x
_atom_site_fract_y
_atom_site_fract_z
Pm1 Pm 0.000 0.000 0.000
Pm2 Pm 0.264 0.736 0.500
Pm3 Pm 0.736 0.264 0.500
Er1 Er 0.262 0.262 0.845
Er2 Er 0.738 0.738 0.155
S1 S 0.105 0.637 0.082
S2 S 0.121 0.121 0.438
S3 S 0.363 0.895 0.918
S4 S 0.383 0.383 0.613
S5 S 0.617 0.617 0.387
S6 S 0.637 0.105 0.082
S7 S 0.879 0.879 0.562
S8 S 0.895 0.363 0.918

# PmErS3 (PBE-GGA, optimized geometry)
# Formation energy (no corrections)   -10.2 eV per formula unit
# Electronic total energy   -6.38 eV/atom
# Magnetization   0.0 μB per formula unit
data_PmErS3
_space_group_name_H-M_alt 'P 1'
_space_group_IT_number 1
_space_group_name_Hall 'P 1'
_cell_length_a 7.404
_cell_length_b 7.404
_cell_length_c 7.404
_cell_angle_alpha 56.31
_cell_angle_beta 56.31
_cell_angle_gamma 56.31
loop_
_atom_site_label
_atom_site_type_symbol
_atom_site_fract_x
_atom_site_fract_y
_atom_site_fract_z
Pm1 Pm 0.145 0.145 0.145
Pm2 Pm 0.855 0.855 0.855
Er1 Er 0.348 0.348 0.348
Er2 Er 0.652 0.652 0.652
S1 S 0.054 0.457 0.735
S2 S 0.265 0.946 0.543
S3 S 0.457 0.735 0.054
S4 S 0.543 0.265 0.946
S5 S 0.735 0.054 0.457
S6 S 0.946 0.543 0.265

# Pm4Er3S8 (PBE-GGA, optimized geometry)
# Formation energy (no corrections)   -30.3 eV per formula unit
# Electronic total energy   -6.40 eV/atom
# Magnetization   0.0 μB per formula unit
data_Pm4Er3S8
_space_group_name_H-M_alt 'P 1'
_space_group_IT_number 1
_space_group_name_Hall 'P 1'
_cell_length_a 7.898
_cell_length_b 7.898
_cell_length_c 7.889
_cell_angle_alpha 119.92
_cell_angle_beta 119.92
_cell_angle_gamma 90.04
loop_
_atom_site_label
_atom_site_type_symbol
_atom_site_fract_x
_atom_site_fract_y
_atom_site_fract_z
Pm1 Pm 0.000 0.000 0.000
Pm2 Pm 0.000 0.500 0.000
Pm3 Pm 0.500 0.000 0.000
Pm4 Pm 0.500 0.500 0.500
Er1 Er 0.000 0.500 0.500
Er2 Er 0.500 0.000 0.500
Er3 Er 0.500 0.500 0.000
S1 S 0.246 0.754 0.500
S2 S 0.251 0.251 0.510
S3 S 0.252 0.252 0.992
S4 S 0.255 0.745 0.000
S5 S 0.745 0.255 0.000
S6 S 0.748 0.748 0.008
S7 S 0.749 0.749 0.490
S8 S 0.754 0.246 0.500

What is the magnetization in the twelfth record? 0.0 μB per formula unit